1.
5
Lattice="3.646 -2.025 0.000 3.646 2.025 0.000 -3.632 0.000 8.515" Properties=species:S:1:pos:R:3 comment="CsZnGePO, optimized geometry, DFT PBE" e_form_raw_kj_per_mol_atoms=-58.54 crystal_system=monoclinic polymorph_energy_ev_per_fu=0.58 pbc="T T T"
Cs 0.000 0.000 0.000
Zn 2.456 0.000 3.194
Ge 0.388 0.000 5.299
P 4.822 0.000 3.218
O 1.333 0.000 6.763



2.
12
Lattice="2.963 1.711 8.381 -2.963 1.711 8.381 0.000 -3.422 8.381" Properties=species:S:1:pos:R:3 comment="CsPaGe2O8, optimized geometry, DFT PBE" e_form_raw_kj_per_mol_atoms=-183.35 crystal_system=trigonal pbc="T T T"
Cs 0.000 0.000 0.000
Pa 0.000 0.000 12.571
Ge 0.000 0.000 6.009
Ge 0.000 0.000 19.133
O -1.518 -0.876 11.311
O 0.000 0.000 7.784
O 0.000 -1.753 13.831
O -1.518 0.876 13.831
O 1.518 -0.876 11.311
O 0.000 1.753 11.311
O 0.000 0.000 17.358
O 1.518 0.876 13.831



3.
20
Lattice="-4.363 4.363 4.363 4.363 -4.363 4.363 4.363 4.363 -4.363" Properties=species:S:1:pos:R:3 comment="Cs4Pa3GeO12, optimized geometry, DFT PBE" e_form_raw_kj_per_mol_atoms=-241.59 crystal_system=cubic pbc="T T T"
Cs 2.182 2.182 -2.182
Cs 2.182 -2.182 2.182
Cs -2.182 2.182 2.182
Cs 2.182 2.182 2.182
Pa 4.363 0.000 0.000
Pa 0.000 4.363 0.000
Pa 0.000 0.000 4.363
Ge 0.000 0.000 0.000
O 2.071 0.000 0.000
O 6.656 0.000 0.000
O 0.000 2.071 0.000
O 0.000 0.000 2.071
O 4.363 2.182 0.000
O 4.363 0.000 2.182
O 2.182 4.363 0.000
O 2.182 0.000 4.363
O 0.000 4.363 2.182
O 0.000 2.182 4.363
O 0.000 6.656 0.000
O 0.000 0.000 6.656



4.
18
Lattice="3.591 2.073 6.226 -3.591 2.073 6.226 0.000 -4.146 6.226" Properties=species:S:1:pos:R:3 comment="Cs2PaGe3O12, optimized geometry, DFT PBE" e_form_raw_kj_per_mol_atoms=-150.34 crystal_system=trigonal pbc="T T T"
Cs 0.000 0.000 2.217
Cs 0.000 0.000 16.462
Pa 0.000 0.000 9.340
Ge -1.795 -1.037 6.226
Ge -1.795 1.037 12.453
Ge 0.000 2.073 6.226
O -1.514 -0.874 8.084
O 0.000 -1.615 5.925
O -1.398 0.807 5.925
O -1.398 -0.807 12.755
O 0.000 -1.748 10.595
O -1.514 0.874 10.595
O 1.514 -0.874 8.084
O 0.000 1.748 8.084
O 1.398 0.807 5.925
O 1.398 -0.807 12.755
O 0.000 1.615 12.755
O 1.514 0.874 10.595



5.
11
Lattice="5.282 -3.049 0.000 5.282 3.049 0.000 -2.983 0.000 6.651" Properties=species:S:1:pos:R:3 comment="Cs2PaGe2O6, optimized geometry, DFT PBE" e_form_raw_kj_per_mol_atoms=-207.70 crystal_system=monoclinic pbc="T T T"
Cs 1.890 0.000 1.155
Cs 5.690 0.000 5.497
Pa -1.491 0.000 3.326
Ge 2.084 0.000 5.250
Ge 5.497 0.000 1.401
O 0.467 0.000 4.272
O 3.050 1.463 4.679
O 4.531 1.463 1.972
O 3.050 -1.463 4.679
O 4.531 -1.463 1.972
O 7.113 0.000 2.379



6.
16
Lattice="3.850 -5.083 0.000 3.850 5.083 0.000 -3.651 0.000 7.393" Properties=species:S:1:pos:R:3 comment="CsPaGeO5, optimized geometry, DFT PBE" e_form_raw_kj_per_mol_atoms=-245.36 crystal_system=monoclinic pbc="T T T"
Cs 1.111 3.393 5.545
Cs 2.937 -3.393 1.848
Pa 3.850 0.000 0.000
Pa 2.024 0.000 3.697
Ge 2.937 3.134 1.848
Ge 1.111 -3.134 5.545
O -1.677 0.875 6.516
O 1.906 2.053 2.849
O 0.148 -0.875 2.819
O 3.968 2.053 0.847
O 1.111 0.513 5.545
O 2.937 -0.513 1.848
O 0.080 -2.053 6.546
O 3.900 0.875 4.574
O 2.143 -2.053 4.544
O 5.725 -0.875 0.878



7.
8
Lattice="-3.268 3.268 3.660 3.268 -3.268 3.660 3.268 3.268 -3.660" Properties=species:S:1:pos:R:3 comment="CsGePb2O4, optimized geometry, DFT PBE" e_form_raw_kj_per_mol_atoms=-122.91 crystal_system=tetragonal pbc="T T T"
Cs 0.000 0.000 0.000
Ge 0.000 0.000 3.660
Pb 3.268 0.000 1.830
Pb 0.000 3.268 1.830
O 2.223 2.223 -1.030
O 1.045 -1.045 4.690
O 1.045 1.045 2.631
O -1.045 1.045 4.690



8.
16
Lattice="6.298 0.000 0.000 0.000 8.122 0.000 0.000 0.000 7.021" Properties=species:S:1:pos:R:3 comment="Cs2GePbO4, optimized geometry, DFT PBE" e_form_raw_kj_per_mol_atoms=-147.73 crystal_system=orthorhombic pbc="T T T"
Cs 1.575 0.065 1.555
Cs 1.575 3.996 1.555
Cs 4.724 4.126 5.466
Cs 4.724 8.057 5.466
Ge 1.575 6.092 4.586
Ge 4.724 2.031 2.435
Pb 1.575 2.031 4.958
Pb 4.724 6.092 2.063
O 0.111 6.092 3.507
O 1.575 4.588 5.523
O 1.575 7.595 5.523
O 3.038 6.092 3.507
O 3.260 2.031 3.514
O 4.724 0.527 1.498
O 4.724 3.534 1.498
O 6.188 2.031 3.514